No. 1
DFT (PBE) results for a relaxed ThHSI crystal.

Cell lengths 7.0647, 4.0789, 7.8690 Å; angles 90.00, 107.56, 90.00 degrees
Closest atoms and distances in Å follow each position.
Space group Cm (No. 8)
Asymmetric unit:
Th 0.0000 0.0000 0.0000  3 H 2.36
H 0.1573 0.5000 0.9720  3 Th 2.36
S 0.4004 0.0000 0.1996  3 Th 2.79, 3 H 2.91
I 0.2304 0.0000 0.6938  3 H 3.15, 3 Th 3.29

**Fermi-level density of states**: 0.00 states/eV/cell
**M_tot**: 0.000 μB per atom
**Final energy**: -5.4646 eV/atom

No. 2
DFT (PBE) results for a relaxed KNa2AsPd2 crystal.

Cell lengths 4.9000, 4.9000, 6.7952 Å; angles 90.00, 90.00, 90.00 degrees
Closest atoms and distances in Å follow each position.
Space group P4/mmm (No. 123)
Asymmetric unit:
K 0.0000 0.0000 0.0000  2 As 3.40
Na 0.5000 0.5000 0.2714  4 Pd 2.90, 1 Na 3.11
As 0.0000 0.0000 0.5000  4 Pd 2.45
Pd 0.0000 0.5000 0.5000  2 As 2.45

**Fermi-level density of states**: 2.29 states/eV/cell
**M_tot**: 0.000 μB per atom
**Final energy**: -3.3868 eV/atom
**Calculated formation energy**: -0.2583 eV/atom

No. 3
DFT (PBE) results for a relaxed CaFe2Sb crystal.

Cell lengths 3.2822, 3.2822, 7.2131 Å; angles 90.00, 90.00, 90.00 degrees
Closest atoms and distances in Å follow each position.
Space group P4mm (No. 99)
Asymmetric unit:
Ca 0.0000 0.0000 0.0000  5 Fe 3.07-3.14, 4 Ca 3.28, 4 Sb 3.38
Fe 0.0000 0.0000 0.4260  4 Fe 2.51
Fe 0.5000 0.5000 0.2928  4 Fe 2.51, 1 Sb 2.64
Sb 0.5000 0.5000 0.6584  5 Fe 2.64-2.86

**Raw formation energy**: 0.09 eV per atom
**Fermi-level density of states**: 3.71 states/eV/cell
**M_tot**: 1.216 μB per atom
**Final energy**: -5.6753 eV/atom

No. 4
DFT (PBE) results for a relaxed HfPaSb2 crystal.

Cell lengths 4.0808, 4.0808, 22.5975 Å; angles 90.00, 90.00, 120.00 degrees
Closest atoms and distances in Å follow each position.
Space group R3m (No. 160, hexagonal axes)
Asymmetric unit:
Hf 0.0000 0.0000 0.0000  6 Sb 2.90-2.97
Pa 0.0000 0.0000 0.1719  6 Sb 3.07-3.14
Sb 0.0000 0.0000 0.5920  3 Hf 2.90, 3 Pa 3.07
Sb 0.0000 0.0000 0.7467  3 Hf 2.97, 3 Pa 3.14

**Raw formation energy**: -0.36 eV per atom
**Fermi-level density of states**: 14.69 states/eV/cell
**Distance to the lowest polymorph of the same formula**: 64 meV/atom
**M_tot**: 0.269 μB per atom
**Final energy**: -7.2799 eV/atom

No. 5
DFT (PBE) results for a relaxed CoRuCl3 crystal.

Cell lengths 17.1432, 3.5235, 8.4793 Å; angles 90.00, 119.61, 90.00 degrees
Closest atoms and distances in Å follow each position.
Space group Cm (No. 8)
Asymmetric unit:
Co 0.0000 0.0000 0.0000  3 Cl 2.32-2.36, 2 Ru 2.39, 1 Co 2.45
Co 0.1555 0.0000 0.2495  4 Cl 2.33-2.46, 1 Co 2.45, 2 Ru 2.56
Ru 0.0405 0.5000 0.2172  4 Co 2.39-2.56, 3 Cl 2.57-2.60
Ru 0.3110 0.5000 0.1541  6 Cl 2.32-2.41
Cl 0.1151 0.0000 0.4747  1 Co 2.33, 2 Ru 2.60
Cl 0.2017 0.0000 0.0173  2 Ru 2.41, 1 Co 2.46
Cl 0.2686 0.5000 0.3855  1 Ru 2.41, 2 Co 2.45
Cl 0.3481 0.5000 0.9251  1 Ru 2.32, 1 Co 2.36
Cl 0.4137 0.0000 0.2956  3 Ru 2.36-2.57
Cl 0.4933 0.0000 0.8159  2 Co 2.32

**Raw formation energy**: -0.21 eV per atom
**Fermi-level density of states**: 6.07 states/eV/cell
**Distance to the lowest polymorph of the same formula**: 40 meV/atom
**M_tot**: 0.600 μB per atom
**Final energy**: -4.5921 eV/atom

No. 6
DFT (PBE) results for a relaxed ZrIrRu2 crystal.

Cell lengths 6.3487, 6.3487, 6.3487 Å; angles 90.00, 90.00, 90.00 degrees
Closest atoms and distances in Å follow each position.
Space group Fm-3m (No. 225)
Asymmetric unit:
Zr 0.0000 0.0000 0.0000  8 Ru 2.75
Ir 0.0000 0.0000 0.5000  8 Ru 2.75
Ru 0.2500 0.2500 0.2500  4 Zr 2.75, 4 Ir 2.75

**Fermi-level density of states**: 26.79 states/eV/cell
**Distance to the lowest polymorph of the same formula**: 359 meV/atom
**M_tot**: 0.000 μB per atom
**Final energy**: -8.9796 eV/atom
**Calculated formation energy**: 0.0106 eV/atom